1.
# CaMn2Be | the Alexandria database | PBE | relaxed
# density of states at the Fermi level = 3.0 states/eV/cell
# magnetic moment = 6.3 μB per cell
# calculated volume = 63.83 Å³/cell
# density = 4.14 Mg/m³
# E_form = 0.414 eV/atom
data_CaMn2Be
_space_group_name_H-M_alt 'P 4/m m m'
_space_group_IT_number 123
_space_group_name_Hall '-P 4 2'
_cell_length_a 2.9186
_cell_length_b 2.9186
_cell_length_c 7.4935
_cell_angle_alpha 90.00
_cell_angle_beta 90.00
_cell_angle_gamma 90.00
loop_
_atom_site_label
_atom_site_type_symbol
_atom_site_fract_x
_atom_site_fract_y
_atom_site_fract_z
Ca1 Ca 0.0000 0.0000 0.0000
Mn1 Mn 0.5000 0.5000 0.3269
Be1 Be 0.0000 0.0000 0.5000

---

2.
# PbSe3Br | the Alexandria database | PBE | relaxed
# formation energy (no corrections) = 0.4440 eV/atom
# density of states at the Fermi level = 3.2 states/eV/cell
# magnetic moment = 0.0 μB per cell
# polymorph energy (0 for the lowest one) = 0.0000 eV/atom
# calculated volume = 142.53 Å³/cell
# density = 6.10 Mg/m³
data_PbSe3Br
_space_group_name_H-M_alt 'P m -3 m'
_space_group_IT_number 221
_space_group_name_Hall '-P 4 2 3'
_cell_length_a 5.2236
_cell_length_b 5.2236
_cell_length_c 5.2236
_cell_angle_alpha 90.00
_cell_angle_beta 90.00
_cell_angle_gamma 90.00
loop_
_atom_site_label
_atom_site_type_symbol
_atom_site_fract_x
_atom_site_fract_y
_atom_site_fract_z
Pb1 Pb 0.0000 0.0000 0.0000
Se1 Se 0.0000 0.5000 0.5000
Br1 Br 0.5000 0.5000 0.5000

---

3.
# AlIrCl2 | the Alexandria database | PBE | relaxed
# formation energy (no corrections) = 0.4322 eV/atom
# density of states at the Fermi level = 6.5 states/eV/cell
# magnetic moment = 1.8 μB per cell
# polymorph energy (0 for the lowest one) = 0.9791 eV/atom
# calculated volume = 209.99 Å³/cell
# density = 6.88 Mg/m³
data_AlIrCl2
_space_group_name_H-M_alt 'R -3 m'
_space_group_IT_number 166
_space_group_name_Hall '-R 3 2"'
_cell_length_a 3.0411
_cell_length_b 3.0411
_cell_length_c 26.2198
_cell_angle_alpha 90.00
_cell_angle_beta 90.00
_cell_angle_gamma 120.00
loop_
_atom_site_label
_atom_site_type_symbol
_atom_site_fract_x
_atom_site_fract_y
_atom_site_fract_z
Al1 Al 0.0000 0.0000 0.0000
Ir1 Ir 0.0000 0.0000 0.5000
Cl1 Cl 0.0000 0.0000 0.2712

---

4.
# Tb6PrSm2Dy3 | the Alexandria database | PBE | relaxed
# density of states at the Fermi level = 30.6 states/eV/cell
# magnetic moment = 0.0 μB per cell
# calculated volume = 777.92 Å³/cell
# density = 8.04 Mg/m³
# E_form = 0.015 eV/atom
data_Tb6PrSm2Dy3
_space_group_name_H-M_alt 'C 1 2/m 1'
_space_group_IT_number 12
_cell_length_a 6.2029
_cell_length_b 10.7371
_cell_length_c 11.8603
_cell_angle_alpha 90.00
_cell_angle_beta 99.99
_cell_angle_gamma 90.00
loop_
_space_group_symop_operation_xyz
'x,y,z'
'-x,-y,-z'
'-x,y,-z'
'x,-y,z'
'x+1/2,y+1/2,z'
'-x+1/2,-y+1/2,-z'
'-x+1/2,y+1/2,-z'
'x+1/2,-y+1/2,z'
loop_
_atom_site_label
_atom_site_type_symbol
_atom_site_fract_x
_atom_site_fract_y
_atom_site_fract_z
Tb1 Tb 0.2481 0.1669 0.2469
Tb2 Tb 0.2488 0.5000 0.2468
Pr1 Pr 0.0000 0.5000 0.5000
Sm1 Sm 0.0000 0.1666 0.5000
Dy1 Dy 0.0000 0.0000 0.0000
Dy2 Dy 0.0000 0.3332 0.0000

---

5.
# K2Mn3 | the Alexandria database | PBE | relaxed
# density of states at the Fermi level = 8.3 states/eV/cell
# magnetic moment = 13.7 μB per cell
# polymorph energy (0 for the lowest one) = 0.5398 eV/atom
# calculated volume = 184.20 Å³/cell
# density = 2.19 Mg/m³
# E_form = 1.589 eV/atom
data_K2Mn3
_space_group_name_H-M_alt 'P -3 m 1'
_space_group_IT_number 164
_space_group_name_Hall '-P 3 2"'
_cell_length_a 5.4875
_cell_length_b 5.4875
_cell_length_c 7.0633
_cell_angle_alpha 90.00
_cell_angle_beta 90.00
_cell_angle_gamma 120.00
loop_
_atom_site_label
_atom_site_type_symbol
_atom_site_fract_x
_atom_site_fract_y
_atom_site_fract_z
K1 K 0.3333 0.6667 0.3285
Mn1 Mn 0.0000 0.0000 0.5000
Mn2 Mn 0.3333 0.6667 0.8639

---

6.
# Mn2MoHPd | the Alexandria database | PBE | relaxed
# density of states at the Fermi level = 4.3 states/eV/cell
# magnetic moment = 2.8 μB per cell
# polymorph energy (0 for the lowest one) = 0.0000 eV/atom
# calculated volume = 56.70 Å³/cell
# density = 9.17 Mg/m³
data_Mn2MoHPd
_space_group_name_H-M_alt 'P 4/m m m'
_space_group_IT_number 123
_space_group_name_Hall '-P 4 2'
_cell_length_a 3.8390
_cell_length_b 3.8390
_cell_length_c 3.8472
_cell_angle_alpha 90.00
_cell_angle_beta 90.00
_cell_angle_gamma 90.00
loop_
_atom_site_label
_atom_site_type_symbol
_atom_site_fract_x
_atom_site_fract_y
_atom_site_fract_z
Mn1 Mn 0.0000 0.5000 0.0000
Mo1 Mo 0.0000 0.0000 0.5000
H1 H 0.0000 0.0000 0.0000
Pd1 Pd 0.5000 0.5000 0.5000

---

7.
# Tm4TlCd5 | the Alexandria database | PBE | relaxed
# density of states at the Fermi level = 9.9 states/eV/cell
# magnetic moment = 0.0 μB per cell
# calculated volume = 494.05 Å³/cell
# density = 9.69 Mg/m³
# E_form = -0.281 eV/atom
data_Tm4TlCd5
_space_group_name_H-M_alt 'C 1 2/m 1'
_space_group_IT_number 12
_cell_length_a 15.4320
_cell_length_b 5.1360
_cell_length_c 6.4490
_cell_angle_alpha 90.00
_cell_angle_beta 104.86
_cell_angle_gamma 90.00
loop_
_space_group_symop_operation_xyz
'x,y,z'
'-x,-y,-z'
'-x,y,-z'
'x,-y,z'
'x+1/2,y+1/2,z'
'-x+1/2,-y+1/2,-z'
'-x+1/2,y+1/2,-z'
'x+1/2,-y+1/2,z'
loop_
_atom_site_label
_atom_site_type_symbol
_atom_site_fract_x
_atom_site_fract_y
_atom_site_fract_z
Tm1 Tm 0.0979 0.0000 0.3818
Tm2 Tm 0.1940 0.5000 0.8124
Tl1 Tl 0.0000 0.5000 0.5000
Cd1 Cd 0.0000 0.5000 0.0000
Cd2 Cd 0.1002 0.0000 0.9062
Cd3 Cd 0.2061 0.5000 0.3131

---

8.
# BaCa2InNi | the Alexandria database | PBE | relaxed
# density of states at the Fermi level = 4.7 states/eV/cell
# magnetic moment = 0.0 μB per cell
# polymorph energy (0 for the lowest one) = 0.1053 eV/atom
# calculated volume = 175.67 Å³/cell
# density = 3.70 Mg/m³
# E_form = -0.075 eV/atom
data_BaCa2InNi
_space_group_name_H-M_alt 'P 4/m m m'
_space_group_IT_number 123
_space_group_name_Hall '-P 4 2'
_cell_length_a 5.4938
_cell_length_b 5.4938
_cell_length_c 5.8205
_cell_angle_alpha 90.00
_cell_angle_beta 90.00
_cell_angle_gamma 90.00
loop_
_atom_site_label
_atom_site_type_symbol
_atom_site_fract_x
_atom_site_fract_y
_atom_site_fract_z
Ba1 Ba 0.0000 0.0000 0.0000
Ca1 Ca 0.0000 0.5000 0.5000
In1 In 0.5000 0.5000 0.0000
Ni1 Ni 0.0000 0.0000 0.5000

---

9.
# Pm5NdAu6 | the Alexandria database | PBE | relaxed
# density of states at the Fermi level = 8.5 states/eV/cell
# magnetic moment = 0.0 μB per cell
# calculated volume = 303.44 Å³/cell
# density = 11.22 Mg/m³
# E_form = -0.781 eV/atom
data_Pm5NdAu6
_space_group_name_H-M_alt 'P 1 2/m 1'
_space_group_IT_number 10
_cell_length_a 5.2498
_cell_length_b 7.3374
_cell_length_c 8.2842
_cell_angle_alpha 90.00
_cell_angle_beta 108.03
_cell_angle_gamma 90.00
loop_
_space_group_symop_operation_xyz
'x,y,z'
'-x,-y,-z'
'-x,y,-z'
'x,-y,z'
loop_
_atom_site_label
_atom_site_type_symbol
_atom_site_fract_x
_atom_site_fract_y
_atom_site_fract_z
Pm1 Pm 0.0000 0.0000 0.0000
Pm2 Pm 0.3330 0.0000 0.6669
Pm3 Pm 0.3328 0.5000 0.6665
Nd1 Nd 0.0000 0.5000 0.0000
Au1 Au 0.1686 0.2494 0.3352
Au2 Au 0.5000 0.2475 0.0000

---

10.
# CsBaBiOs | the Alexandria database | PBE | relaxed
# density of states at the Fermi level = 4.8 states/eV/cell
# magnetic moment = 0.0 μB per cell
# polymorph energy (0 for the lowest one) = 0.1193 eV/atom
# calculated volume = 326.16 Å³/cell
# density = 6.82 Mg/m³
# E_form = 0.415 eV/atom
data_CsBaBiOs
_space_group_name_H-M_alt 'C 1 m 1'
_space_group_IT_number 8
_cell_length_a 12.8495
_cell_length_b 5.4594
_cell_length_c 4.8136
_cell_angle_alpha 90.00
_cell_angle_beta 105.01
_cell_angle_gamma 90.00
loop_
_space_group_symop_operation_xyz
'x,y,z'
'x,-y,z'
'x+1/2,y+1/2,z'
'x+1/2,-y+1/2,z'
loop_
_atom_site_label
_atom_site_type_symbol
_atom_site_fract_x
_atom_site_fract_y
_atom_site_fract_z
Cs1 Cs 0.0000 0.0000 0.0000
Ba1 Ba 0.1874 0.5000 0.5878
Bi1 Bi 0.3618 0.0000 0.3837
Os1 Os 0.2695 0.0000 0.8224

---

11.
# Ce2SmSb2 | the Alexandria database | PBE | relaxed
# formation energy (no corrections) = -0.6665 eV/atom
# density of states at the Fermi level = 17.7 states/eV/cell
# magnetic moment = 1.4 μB per cell
# calculated volume = 285.00 Å³/cell
# density = 7.86 Mg/m³
data_Ce2SmSb2
_space_group_name_H-M_alt 'C 1 2/m 1'
_space_group_IT_number 12
_cell_length_a 6.0946
_cell_length_b 6.1122
_cell_length_c 8.2208
_cell_angle_alpha 90.00
_cell_angle_beta 111.47
_cell_angle_gamma 90.00
loop_
_space_group_symop_operation_xyz
'x,y,z'
'-x,-y,-z'
'-x,y,-z'
'x,-y,z'
'x+1/2,y+1/2,z'
'-x+1/2,-y+1/2,-z'
'-x+1/2,y+1/2,-z'
'x+1/2,-y+1/2,z'
loop_
_atom_site_label
_atom_site_type_symbol
_atom_site_fract_x
_atom_site_fract_y
_atom_site_fract_z
Ce1 Ce 0.0000 0.2404 0.0000
Sm1 Sm 0.0000 0.0000 0.5000
Sb1 Sb 0.0927 0.5000 0.6958

---

12.
# TbPr2Rh | the Alexandria database | PBE | relaxed
# density of states at the Fermi level = 5.9 states/eV/cell
# magnetic moment = 0.0 μB per cell
# polymorph energy (0 for the lowest one) = 0.1938 eV/atom
# calculated volume = 116.08 Å³/cell
# density = 7.78 Mg/m³
# E_form = -0.237 eV/atom
data_TbPr2Rh
_space_group_name_H-M_alt 'P 4/m m m'
_space_group_IT_number 123
_space_group_name_Hall '-P 4 2'
_cell_length_a 3.6390
_cell_length_b 3.6390
_cell_length_c 8.7657
_cell_angle_alpha 90.00
_cell_angle_beta 90.00
_cell_angle_gamma 90.00
loop_
_atom_site_label
_atom_site_type_symbol
_atom_site_fract_x
_atom_site_fract_y
_atom_site_fract_z
Tb1 Tb 0.0000 0.0000 0.0000
Pr1 Pr 0.5000 0.5000 0.3073
Rh1 Rh 0.0000 0.0000 0.5000

---

13.
# UGaNi2 | the Alexandria database | PBE | relaxed
# density of states at the Fermi level = 10.1 states/eV/cell
# magnetic moment = 1.7 μB per cell
# calculated volume = 120.23 Å³/cell
# density = 11.74 Mg/m³
# E_form = -0.241 eV/atom
data_UGaNi2
_space_group_name_H-M_alt 'P 1 21/m 1'
_space_group_IT_number 11
_cell_length_a 5.4823
_cell_length_b 3.9851
_cell_length_c 5.7666
_cell_angle_alpha 90.00
_cell_angle_beta 107.38
_cell_angle_gamma 90.00
loop_
_space_group_symop_operation_xyz
'x,y,z'
'-x,-y,-z'
'-x,y+1/2,-z'
'x,-y+1/2,z'
loop_
_atom_site_label
_atom_site_type_symbol
_atom_site_fract_x
_atom_site_fract_y
_atom_site_fract_z
U1 U 0.1522 0.2500 0.1000
Ga1 Ga 0.3843 0.2500 0.6499
Ni1 Ni 0.1357 0.7500 0.4423
Ni2 Ni 0.3653 0.7500 0.8971

---

14.
# Pr2NdUO8 | the Alexandria database | PBE | relaxed
# formation energy (no corrections) = -3.1573 eV/atom
# density of states at the Fermi level = 9.0 states/eV/cell
# magnetic moment = 0.5 μB per cell
# calculated volume = 172.44 Å³/cell
# density = 7.63 Mg/m³
data_Pr2NdUO8
_space_group_name_H-M_alt 'P m m m'
_space_group_IT_number 47
_cell_length_a 3.9803
_cell_length_b 5.5858
_cell_length_c 7.7562
_cell_angle_alpha 90.00
_cell_angle_beta 90.00
_cell_angle_gamma 90.00
loop_
_space_group_symop_operation_xyz
'x,y,z'
'-x,-y,-z'
'-x,-y,z'
'x,y,-z'
'x,-y,-z'
'-x,y,z'
'-x,y,-z'
'x,-y,z'
loop_
_atom_site_label
_atom_site_type_symbol
_atom_site_fract_x
_atom_site_fract_y
_atom_site_fract_z
Pr1 Pr 0.0000 0.0000 0.2469
Nd1 Nd 0.5000 0.5000 0.5000
U1 U 0.5000 0.5000 0.0000
O1 O 0.0000 0.2492 0.5000
O2 O 0.0000 0.2809 0.0000
O3 O 0.5000 0.2663 0.2188

---

15.
# Ac3NdRh3 | the Alexandria database | PBE | relaxed
# density of states at the Fermi level = 22.3 states/eV/cell
# magnetic moment = 0.0 μB per cell
# polymorph energy (0 for the lowest one) = 0.0000 eV/atom
# calculated volume = 1712.75 Å³/cell
# density = 8.80 Mg/m³
# E_form = -0.611 eV/atom
data_Ac3NdRh3
_space_group_name_H-M_alt 'I 41 3 2'
_space_group_IT_number 214
_space_group_name_Hall 'I 4bd 2c 3'
_cell_length_a 11.9646
_cell_length_b 11.9646
_cell_length_c 11.9646
_cell_angle_alpha 90.00
_cell_angle_beta 90.00
_cell_angle_gamma 90.00
loop_
_atom_site_label
_atom_site_type_symbol
_atom_site_fract_x
_atom_site_fract_y
_atom_site_fract_z
Ac1 Ac 0.1189 0.3750 0.3689
Nd1 Nd 0.1250 0.1250 0.1250
Rh1 Rh 0.1217 0.1250 0.8717

---

16.
# Pm6Zn2Pt | the Alexandria database | PBE | relaxed
# density of states at the Fermi level = 30.9 states/eV/cell
# magnetic moment = 0.0 μB per cell
# calculated volume = 545.07 Å³/cell
# density = 7.29 Mg/m³
# E_form = -0.216 eV/atom
data_Pm6Zn2Pt
_space_group_name_H-M_alt 'I m m m'
_space_group_IT_number 71
_space_group_name_Hall '-I 2 2'
_cell_length_a 5.0601
_cell_length_b 7.1056
_cell_length_c 15.1598
_cell_angle_alpha 90.00
_cell_angle_beta 90.00
_cell_angle_gamma 90.00
loop_
_atom_site_label
_atom_site_type_symbol
_atom_site_fract_x
_atom_site_fract_y
_atom_site_fract_z
Pm1 Pm 0.0000 0.2453 0.0000
Pm2 Pm 0.0000 0.2534 0.3377
Zn1 Zn 0.0000 0.5000 0.1665
Pt1 Pt 0.0000 0.5000 0.5000